Here is a relaxed structure of LiSc2Sn2 from Alexandria via LeMat-Bulk. Energies are from PBE.

abc: 8.646 8.646 3.247
angles: 90.00 90.00 90.00
Each line ends with the local moment (μB).
Element x y z (fractional)
Sc 0.373 0.873 0.000  0.18
Sc 0.627 0.127 0.000  0.18
Sc 0.127 0.373 0.000  0.17
Sc 0.873 0.627 0.000  0.17
Li 0.000 0.000 0.000  0.00
Li 0.500 0.500 0.000  0.00
Sn 0.327 0.173 0.500  0.00
Sn 0.173 0.673 0.500  -0.01
Sn 0.673 0.827 0.500  0.00
Sn 0.827 0.327 0.500  -0.01

Calculated values
Fermi-level density of states   3.2 states/eV/f.u.
Energy relative to the elements   -0.401 eV/atom
Energy relative to the lowest polymorph listed for this composition   0.107 eV/atom
Final energy   -4.918 eV per atom

=====

Here is a relaxed structure of LiSc2Sn2 from Alexandria via LeMat-Bulk. Energies are from PBE.

abc: 4.211 4.211 8.135
angles: 75.00 75.00 90.00
Element x y z (fractional)
Sc 0.604 0.604 0.792
Sc 0.396 0.396 0.208
Sn 0.250 0.750 0.500
Sn 0.750 0.250 0.500
Li 0.000 0.000 0.000

Calculated values
Fermi-level density of states   4.3 states/eV/f.u.
Energy relative to the elements   0.025 eV/atom
Energy relative to the lowest polymorph listed for this composition   0.533 eV/atom
Final energy   -4.491 eV per atom

=====

Here is a relaxed structure of LiScSn from Alexandria via LeMat-Bulk. Energies are from PBE.

abc: 4.780 4.780 4.780
angles: 60.00 60.00 60.00
Element x y z (fractional)
Sc 0.000 0.000 0.000
Li 0.250 0.250 0.250
Sn 0.750 0.750 0.750

Calculated values
Fermi-level density of states   0.0 states/eV/f.u.
Energy relative to the elements   -0.072 eV/atom
Final energy   -4.155 eV per atom

=====

Here is a relaxed structure of LiScTcSn from Alexandria via LeMat-Bulk. Energies are from PBE.

abc: 4.620 4.620 4.620
angles: 60.00 60.00 60.00
Element x y z (fractional)
Li 0.750 0.750 0.750
Sn 0.000 0.000 0.000
Sc 0.500 0.500 0.500
Tc 0.250 0.250 0.250

Calculated values
Fermi-level density of states   2.9 states/eV/f.u.
Energy relative to the elements   -0.240 eV/atom
Final energy   -5.893 eV per atom

=====

Here is a relaxed structure of Li2ThSc2Sn2 from Alexandria via LeMat-Bulk. Energies are from PBE.

abc: 4.718 4.718 8.884
angles: 74.60 74.60 60.00
Element x y z (fractional)
Sc 0.867 0.867 0.398
Sc 0.133 0.133 0.602
Sn 0.257 0.257 0.230
Sn 0.743 0.743 0.770
Li 0.575 0.575 0.274
Li 0.425 0.425 0.726
Th 0.000 0.000 0.000

Calculated values
Fermi-level density of states   5.0 states/eV/f.u.
Energy relative to the elements   -0.397 eV/atom
Final energy   -4.956 eV per atom

=====

Here is a relaxed structure of LiThScSn from Alexandria via LeMat-Bulk. Energies are from PBE.

abc: 5.180 5.180 5.180
angles: 60.00 60.00 60.00
Element x y z (fractional)
Sc 0.500 0.500 0.500
Li 0.750 0.750 0.750
Th 0.000 0.000 0.000
Sn 0.250 0.250 0.250

Calculated values
Fermi-level density of states   4.3 states/eV/f.u.
Energy relative to the elements   -0.221 eV/atom
Final energy   -5.138 eV per atom

=====

Here is a relaxed structure of LiScTlSn from Alexandria via LeMat-Bulk. Energies are from PBE.

abc: 5.022 5.022 5.022
angles: 60.00 60.00 60.00
Element x y z (fractional)
Li 0.000 0.000 0.000
Sn 0.250 0.250 0.250
Sc 0.500 0.500 0.500
Tl 0.750 0.750 0.750

Calculated values
Fermi-level density of states   2.1 states/eV/f.u.
Energy relative to the elements   -0.320 eV/atom
Energy relative to the lowest polymorph listed for this composition   0.063 eV/atom
Final energy   -3.973 eV per atom

=====

Here is a relaxed structure of LiScTlSn from Alexandria via LeMat-Bulk. Energies are from PBE.

abc: 4.183 4.669 4.461
angles: 90.00 90.00 90.00
Element x y z (fractional)
Tl 0.000 0.500 0.500
Li 0.500 0.500 0.000
Sc 0.500 0.000 0.500
Sn 0.000 0.000 0.000

Calculated values
Fermi-level density of states   1.6 states/eV/f.u.
Energy relative to the elements   -0.382 eV/atom
Energy relative to the lowest polymorph listed for this composition   0.000 eV/atom
Final energy   -4.036 eV per atom

=====

Here is a relaxed structure of LiTmScSn from Alexandria via LeMat-Bulk. Energies are from PBE.

abc: 5.036 5.036 5.036
angles: 60.00 60.00 60.00
Element x y z (fractional)
Sn 0.250 0.250 0.250
Sc 0.500 0.500 0.500
Li 0.750 0.750 0.750
Tm 0.000 0.000 0.000

Calculated values
Fermi-level density of states   3.5 states/eV/f.u.
Energy relative to the elements   -0.379 eV/atom
Final energy   -4.559 eV per atom

=====

Here is a relaxed structure of Li2ScSnW from Alexandria via LeMat-Bulk. Energies are from PBE.

abc: 4.904 4.880 4.904
angles: 90.00 90.00 90.00
Each line ends with the local moment (μB).
Element x y z (fractional)
Li 0.500 0.000 0.000  0.08
Li 0.000 0.000 0.500  0.07
Sc 0.000 0.500 0.000  0.01
Sn 0.500 0.500 0.500  -0.04
W 0.000 0.000 0.000  1.28

Calculated values
Fermi-level density of states   3.4 states/eV/f.u.
Energy relative to the elements   1.024 eV/atom
Final energy   -4.399 eV per atom

=====

Here is a relaxed structure of LiZrScSn from Alexandria via LeMat-Bulk. Energies are from PBE.

abc: 4.900 4.900 4.900
angles: 60.00 60.00 60.00
Element x y z (fractional)
Sc 0.750 0.750 0.750
Sn 0.000 0.000 0.000
Zr 0.250 0.250 0.250
Li 0.500 0.500 0.500

Calculated values
Fermi-level density of states   4.5 states/eV/f.u.
Energy relative to the elements   -0.292 eV/atom
Final energy   -5.491 eV per atom

=====

Here is a relaxed structure of SrLiSc2 from Alexandria via LeMat-Bulk. Energies are from PBE.

abc: 6.588 6.588 6.588
angles: 139.72 139.72 58.28
Each line ends with the local moment (μB).
Element x y z (fractional)
Sr 0.250 0.750 0.500  0.09
Sc 0.000 0.000 0.000  0.47
Sc 0.500 0.500 0.000  0.47
Li 0.750 0.250 0.500  0.01

Calculated values
Fermi-level density of states   6.3 states/eV/f.u.
Energy relative to the elements   0.370 eV/atom
Energy relative to the lowest polymorph listed for this composition   0.181 eV/atom
Final energy   -3.695 eV per atom